Mn3Cr | PBE | relaxed

Unit cell a=7.9684 b=7.9684 c=2.4436 alpha=90.00 beta=90.00 gamma=120.00
Space group R-3m (No. 166, hexagonal axes)
Symmetry-distinct sites (fractional):
1 Mn 0.0000 0.5000 0.0000
2 Cr 0.0000 0.0000 0.0000

Summary:
Energy relative to the elements = 0.102 eV/atom